A relaxed structure of Ba2GaSnPd4. Source: OQMD, functional PBE.

a = 4.5900 Å, b = 4.5900 Å, c = 11.2600 Å
α = 90.00°, β = 90.00°, γ = 120.00°
Fractional coordinates of all 8 atoms:
Ba 0.3333 0.6667 0.2529
Ba 0.6667 0.3333 0.7471
Ga 0.0000 0.0000 0.5000
Sn 0.0000 0.0000 0.0000
Pd 0.3333 0.6667 0.5407
Pd 0.3333 0.6667 0.9527
Pd 0.6667 0.3333 0.0473
Pd 0.6667 0.3333 0.4593

Properties
Crystal system = trigonal
E_tot = -0.3394 Ry per atom
Calculated density = 7.18 Mg/m³
Volume = 205 Å³/f.u.



A relaxed structure of PrYCd6. Source: OQMD, functional PBE.

a = 5.1296 Å, b = 5.1296 Å, c = 7.2699 Å
α = 90.00°, β = 90.00°, γ = 90.00°
Fractional coordinates of all 8 atoms:
Pr 0.0000 0.0000 0.0000
Y 0.5000 0.5000 0.5000
Cd 0.0000 0.0000 0.5000
Cd 0.0000 0.5000 0.2575
Cd 0.0000 0.5000 0.7425
Cd 0.5000 0.0000 0.2575
Cd 0.5000 0.0000 0.7425
Cd 0.5000 0.5000 0.0000

Properties
Offset from the most stable computed form = 0.1 meV per atom
Crystal system = tetragonal
E_tot = -0.1753 Ry per atom
E_form = -7.10 kcal/mol of atoms
Calculated density = 7.85 Mg/m³
Volume = 191 Å³/f.u.



A relaxed structure of Sm2YS3. Source: OQMD, functional PBE.

a = 3.9683 Å, b = 3.9683 Å, c = 9.7582 Å
α = 90.00°, β = 90.00°, γ = 120.00°
Fractional coordinates of all 6 atoms:
Sm 0.3333 0.6667 0.1680
Sm 0.6667 0.3333 0.8320
Y 0.0000 0.0000 0.5000
S 0.0000 0.0000 0.0000
S 0.3333 0.6667 0.6597
S 0.6667 0.3333 0.3403

Properties
Crystal system = trigonal
E_tot = -0.4947 Ry per atom
Calculated density = 6.06 Mg/m³
Volume = 133 Å³/f.u.



A relaxed structure of TaBeNiB. Source: OQMD, functional PBE.

a = 3.9052 Å, b = 3.9052 Å, c = 3.9052 Å
α = 60.00°, β = 60.00°, γ = 60.00°
Fractional coordinates of all 4 atoms:
Ta 0.0000 0.0000 0.0000
Be 0.2500 0.2500 0.2500
Ni 0.5000 0.5000 0.5000
B 0.7500 0.7500 0.7500

Properties
Offset from the most stable computed form = 0.0 meV per atom
Crystal system = cubic
E_tot = -0.5034 Ry per atom
Calculated density = 10.23 Mg/m³
Volume = 42 Å³/f.u.



A relaxed structure of NbZnNiB. Source: OQMD, functional PBE.

a = 4.0996 Å, b = 4.0996 Å, c = 4.0996 Å
α = 60.00°, β = 60.00°, γ = 60.00°
Fractional coordinates of all 4 atoms:
Nb 0.0000 0.0000 0.0000
Zn 0.7500 0.7500 0.7500
Ni 0.5000 0.5000 0.5000
B 0.2500 0.2500 0.2500

Properties
Offset from the most stable computed form = 95.2 meV per atom
Crystal system = cubic
E_tot = -0.4133 Ry per atom
Calculated density = 7.76 Mg/m³
Volume = 49 Å³/f.u.



A relaxed structure of Hf2ZnIr3. Source: OQMD, functional PBE.

a = 3.3926 Å, b = 3.3926 Å, c = 8.7603 Å
α = 90.00°, β = 90.00°, γ = 90.00°
Fractional coordinates of all 6 atoms:
Hf 0.0000 0.0000 0.0000
Hf 0.5000 0.5000 0.4835
Zn 0.5000 0.5000 0.8130
Ir 0.0000 0.0000 0.3369
Ir 0.0000 0.0000 0.6770
Ir 0.5000 0.5000 0.1291

Properties
Crystal system = tetragonal
E_tot = -0.6281 Ry per atom
E_form = -13.57 kcal/mol of atoms
Calculated density = 16.45 Mg/m³
Volume = 101 Å³/f.u.



A relaxed structure of BaTaAsO. Source: OQMD, functional PBE.

a = 4.2619 Å, b = 4.2619 Å, c = 10.5689 Å
α = 90.00°, β = 90.00°, γ = 90.00°
Fractional coordinates of all 8 atoms:
Ba 0.2500 0.2500 0.1256
Ba 0.7500 0.7500 0.8744
Ta 0.2500 0.7500 0.5000
Ta 0.7500 0.2500 0.5000
As 0.2500 0.2500 0.6452
As 0.7500 0.7500 0.3548
O 0.2500 0.7500 0.0000
O 0.7500 0.2500 0.0000

Properties
Offset from the most stable computed form = 148.7 meV per atom
Crystal system = tetragonal
E_tot = -0.5114 Ry per atom
Calculated density = 7.08 Mg/m³
Volume = 96 Å³/f.u.



A relaxed structure of FeAsPtAu. Source: OQMD, functional PBE.

a = 4.4852 Å, b = 4.4852 Å, c = 4.4852 Å
α = 60.00°, β = 60.00°, γ = 60.00°
Fractional coordinates of all 4 atoms:
Fe 0.0000 0.0000 0.0000
As 0.7500 0.7500 0.7500
Pt 0.5000 0.5000 0.5000
Au 0.2500 0.2500 0.2500

Properties
Offset from the most stable computed form = 0.0 meV per atom
Crystal system = cubic
E_tot = -0.4002 Ry per atom
Calculated density = 13.61 Mg/m³
Volume = 64 Å³/f.u.